A plane-wave DFT calculation with PBE was carried out for an optimized crystal structure of CoRh3W. Values from VASP.

Values from the calculation:
Its total energy is -35.5 eV per formula unit. The density of states at the Fermi level is 6.16 states/eV/cell. Its energy above the most stable polymorph in this dataset is 0.000 eV per atom. The formation energy from the elements is 1.332 eV per atom.

Quantum ESPRESSO input file:
```
&SYSTEM
  ibrav = 0, nat = 5, ntyp = 3
/
ATOMIC_SPECIES
Co 58.93 Co.upf
Rh 102.91 Rh.upf
W 183.84 W.upf
CELL_PARAMETERS angstrom
4.376 0.000 0.000
0.000 4.376 0.000
0.000 0.000 4.376
ATOMIC_POSITIONS crystal
Co 0.000 0.000 0.000
Rh 0.000 0.000 0.500
Rh 0.000 0.500 0.000
Rh 0.500 0.000 0.000
W 0.500 0.500 0.500
```

***

A plane-wave DFT calculation with PBE was carried out for an optimized crystal structure of Be2Au. Values from VASP.

Values from the calculation:
Its total energy is -11.0 eV per formula unit. The density of states at the Fermi level is 2.25 states/eV/cell. The formation energy from the elements is -0.076 eV per atom.

Quantum ESPRESSO input file:
```
&SYSTEM
  ibrav = 0, nat = 6, ntyp = 2
/
ATOMIC_SPECIES
Be 9.01 Be.upf
Au 196.97 Au.upf
CELL_PARAMETERS angstrom
1.735 -5.677 0.000
1.735 5.677 0.000
0.000 0.000 3.526
ATOMIC_POSITIONS crystal
Be 0.076 0.924 0.750
Be 0.249 0.751 0.250
Be 0.751 0.249 0.750
Be 0.924 0.076 0.250
Au 0.397 0.603 0.750
Au 0.603 0.397 0.250
```

***

A plane-wave DFT calculation with PBE was carried out for an optimized crystal structure of Cd2Cu3Au8. Values from VASP.

Values from the calculation:
Its total energy is -40.0 eV per formula unit. The density of states at the Fermi level is 4.07 states/eV/cell. Its energy above the most stable polymorph in this dataset is 0.054 eV per atom. The formation energy from the elements is 0.029 eV per atom.

Quantum ESPRESSO input file:
```
&SYSTEM
  ibrav = 0, nat = 13, ntyp = 3
/
ATOMIC_SPECIES
Cd 112.41 Cd.upf
Cu 63.55 Cu.upf
Au 196.97 Au.upf
CELL_PARAMETERS angstrom
5.789 -3.692 0.000
5.789 3.692 0.000
-1.346 0.000 5.696
ATOMIC_POSITIONS crystal
Cd 0.218 0.218 0.282
Cd 0.782 0.782 0.718
Cu 0.000 0.000 0.000
Cu 0.179 0.821 0.500
Cu 0.821 0.179 0.500
Au 0.186 0.186 0.735
Au 0.186 0.578 0.045
Au 0.422 0.422 0.644
Au 0.422 0.814 0.955
Au 0.578 0.186 0.045
Au 0.578 0.578 0.356
Au 0.814 0.422 0.955
Au 0.814 0.814 0.265
```

***

A plane-wave DFT calculation with PBE was carried out for an optimized crystal structure of ZrZn2. Values from VASP.

Values from the calculation:
Its total energy is -10.4 eV per formula unit. The density of states at the Fermi level is 4.11 states/eV/cell. The formation energy from the elements is 0.235 eV per atom.

Quantum ESPRESSO input file:
```
&SYSTEM
  ibrav = 0, nat = 6, ntyp = 2
/
ATOMIC_SPECIES
Zr 91.22 Zr.upf
Zn 65.41 Zn.upf
CELL_PARAMETERS angstrom
-3.160 3.160 3.056
3.160 -3.160 3.056
3.160 3.160 -3.056
ATOMIC_POSITIONS crystal
Zr 0.250 0.250 0.000
Zr 0.750 0.750 0.000
Zn 0.143 0.643 0.787
Zn 0.357 0.143 0.500
Zn 0.643 0.857 0.500
Zn 0.857 0.357 0.213
```

***

A plane-wave DFT calculation with PBE was carried out for an optimized crystal structure of Ca2BeSb. Values from VASP.

Values from the calculation:
The formation energy without anion corrections is -29 meV per atom. Its total energy is -12.0 eV per formula unit. The density of states at the Fermi level is 2.31 states/eV/cell. Its energy above the most stable polymorph in this dataset is 0.387 eV per atom.

Quantum ESPRESSO input file:
```
&SYSTEM
  ibrav = 0, nat = 4, ntyp = 3
/
ATOMIC_SPECIES
Ca 40.08 Ca.upf
Be 9.01 Be.upf
Sb 121.76 Sb.upf
CELL_PARAMETERS angstrom
4.414 -1.790 0.000
4.414 1.790 0.000
-1.346 0.000 7.186
ATOMIC_POSITIONS crystal
Ca 0.247 0.247 0.233
Ca 0.753 0.753 0.767
Be 0.500 0.500 0.000
Sb 0.000 0.000 0.500
```

***

A plane-wave DFT calculation with PBE was carried out for an optimized crystal structure of ZrFeSi. Values from VASP.

Values from the calculation:
The formation energy without anion corrections is -536 meV per atom. Its total energy is -24.0 eV per formula unit. The density of states at the Fermi level is 2.63 states/eV/cell.

Quantum ESPRESSO input file:
```
&SYSTEM
  ibrav = 0, nat = 3, ntyp = 3
/
ATOMIC_SPECIES
Zr 91.22 Zr.upf
Fe 55.84 Fe.upf
Si 28.09 Si.upf
CELL_PARAMETERS angstrom
4.069 0.000 0.000
-2.034 3.524 0.000
0.000 0.000 3.181
ATOMIC_POSITIONS crystal
Zr 0.000 0.000 0.000
Fe 0.667 0.333 0.500
Si 0.333 0.667 0.500
```

***

A plane-wave DFT calculation with PBE was carried out for an optimized crystal structure of Tl2InP. Values from VASP.

Values from the calculation:
Its total energy is -12.4 eV per formula unit. The density of states at the Fermi level is 1.29 states/eV/cell. Its energy above the most stable polymorph in this dataset is 0.009 eV per atom. The formation energy from the elements is 0.113 eV per atom.

Quantum ESPRESSO input file:
```
&SYSTEM
  ibrav = 0, nat = 4, ntyp = 3
/
ATOMIC_SPECIES
Tl 204.38 Tl.upf
In 114.82 In.upf
P 30.97 P.upf
CELL_PARAMETERS angstrom
5.571 -1.934 0.000
5.571 1.934 0.000
-2.737 0.000 5.335
ATOMIC_POSITIONS crystal
Tl 0.000 0.000 0.000
Tl 0.187 0.187 0.685
In 0.385 0.385 0.353
P 0.716 0.716 0.334
```

***

A plane-wave DFT calculation with PBE was carried out for an optimized crystal structure of HgTe2S. Values from VASP.

Values from the calculation:
The formation energy without anion corrections is 214 meV per atom. Its total energy is -9.9 eV per formula unit. The density of states at the Fermi level is 0.42 states/eV/cell. Its energy above the most stable polymorph in this dataset is 0.000 eV per atom.

Quantum ESPRESSO input file:
```
&SYSTEM
  ibrav = 0, nat = 8, ntyp = 3
/
ATOMIC_SPECIES
Hg 200.59 Hg.upf
Te 127.60 Te.upf
S 32.06 S.upf
CELL_PARAMETERS angstrom
-2.959 2.959 7.711
2.959 -2.959 7.711
2.959 2.959 -7.711
ATOMIC_POSITIONS crystal
Hg 0.000 0.000 0.000
Hg 0.750 0.250 0.500
Te 0.179 0.625 0.054
Te 0.375 0.429 0.554
Te 0.571 0.125 0.946
Te 0.875 0.821 0.446
S 0.250 0.750 0.500
S 0.500 0.500 0.000
```

***

A plane-wave DFT calculation with PBE was carried out for an optimized crystal structure of YTi2Si2. Values from VASP.

Values from the calculation:
The formation energy without anion corrections is -699 meV per atom. Its total energy is -36.6 eV per formula unit. The density of states at the Fermi level is 4.59 states/eV/cell. Its energy above the most stable polymorph in this dataset is 0.000 eV per atom.

Quantum ESPRESSO input file:
```
&SYSTEM
  ibrav = 0, nat = 5, ntyp = 3
/
ATOMIC_SPECIES
Y 88.91 Y.upf
Ti 47.87 Ti.upf
Si 28.09 Si.upf
CELL_PARAMETERS angstrom
-2.001 2.001 5.746
2.001 -2.001 5.746
2.001 2.001 -5.746
ATOMIC_POSITIONS crystal
Y 0.000 0.000 0.000
Ti 0.250 0.750 0.500
Ti 0.750 0.250 0.500
Si 0.395 0.395 0.000
Si 0.605 0.605 0.000
```

***

A plane-wave DFT calculation with PBE was carried out for an optimized crystal structure of La4SiOs. Values from VASP.

Values from the calculation:
The formation energy without anion corrections is -334 meV per atom. Its total energy is -38.4 eV per formula unit. The density of states at the Fermi level is 12.77 states/eV/cell. Its energy above the most stable polymorph in this dataset is 0.000 eV per atom.

Quantum ESPRESSO input file:
```
&SYSTEM
  ibrav = 0, nat = 12, ntyp = 3
/
ATOMIC_SPECIES
La 138.91 La.upf
Si 28.09 Si.upf
Os 190.23 Os.upf
CELL_PARAMETERS angstrom
4.559 -6.919 0.000
4.559 6.919 0.000
-3.233 0.000 5.545
ATOMIC_POSITIONS crystal
La 0.060 0.697 0.917
La 0.223 0.355 0.692
La 0.303 0.940 0.583
La 0.355 0.223 0.192
La 0.645 0.777 0.808
La 0.697 0.060 0.417
La 0.777 0.645 0.308
La 0.940 0.303 0.083
Si 0.373 0.627 0.250
Si 0.627 0.373 0.750
Os 0.001 0.999 0.750
Os 0.999 0.001 0.250
```

***

A plane-wave DFT calculation with PBE was carried out for an optimized crystal structure of NaMnIN2. Values from VASP.

Values from the calculation:
The formation energy without anion corrections is 2700 meV per atom. Its total energy is -15.2 eV per formula unit. The density of states at the Fermi level is 11.87 states/eV/cell. Its energy above the most stable polymorph in this dataset is 2.268 eV per atom.

Quantum ESPRESSO input file:
```
&SYSTEM
  ibrav = 0, nat = 5, ntyp = 4
/
ATOMIC_SPECIES
Na 22.99 Na.upf
Mn 54.94 Mn.upf
I 126.90 I.upf
N 14.01 N.upf
CELL_PARAMETERS angstrom
4.118 0.000 0.000
0.000 4.118 0.000
0.000 0.000 5.457
ATOMIC_POSITIONS crystal
Na 0.000 0.000 0.000
Mn 0.500 0.500 0.500
I 0.000 0.000 0.500
N 0.000 0.500 0.000
N 0.500 0.000 0.000
```

***

A plane-wave DFT calculation with PBE was carried out for an optimized crystal structure of BaNa2Sr4. Values from VASP.

Values from the calculation:
Its total energy is -10.9 eV per formula unit. The density of states at the Fermi level is 11.97 states/eV/cell. Its energy above the most stable polymorph in this dataset is 0.030 eV per atom. The formation energy from the elements is 0.055 eV per atom.

Quantum ESPRESSO input file:
```
&SYSTEM
  ibrav = 0, nat = 14, ntyp = 3
/
ATOMIC_SPECIES
Ba 137.33 Ba.upf
Na 22.99 Na.upf
Sr 87.62 Sr.upf
CELL_PARAMETERS angstrom
7.623 0.000 0.000
3.243 9.551 0.000
1.383 -0.003 10.050
ATOMIC_POSITIONS crystal
Ba 0.000 0.000 0.000
Ba 0.499 0.004 0.994
Na 0.278 0.028 0.646
Na 0.302 0.434 0.514
Na 0.735 0.571 0.465
Na 0.870 0.664 0.136
Sr 0.087 0.231 0.304
Sr 0.097 0.384 0.879
Sr 0.275 0.781 0.313
Sr 0.448 0.650 0.823
Sr 0.566 0.375 0.133
Sr 0.671 0.010 0.371
Sr 0.717 0.238 0.697
Sr 0.920 0.783 0.687
```